Density functional theory data (PBE+U) for an optimized crystal structure of ZrV2HgO8.

Structure (extended XYZ):
```
12
Lattice="-3.553 3.553 3.148 3.553 -3.553 3.148 3.553 3.553 -3.148" Properties=species:S:1:pos:R:3 pbc="T T T"
Zr 0.000 0.000 0.000
V 0.000 0.000 3.148
V 0.000 3.553 1.574
Hg 3.553 0.000 1.574
O 2.284 3.553 -1.197
O 1.269 0.000 1.951
O 0.000 2.110 0.586
O 3.553 2.284 1.197
O 0.000 4.997 0.586
O 0.000 1.269 4.345
O -1.444 3.553 2.561
O 1.444 3.553 2.561
```

Calculated values
spin magnetization	0.000	μB per cell
E_tot	-7.2020	eV/atom
DOS at the Fermi energy	0.000	states/eV/f.u.
space-group type	I-4m2, No. 119